1.
Computed, not measured: a relaxed structure of CsCaAuS2 at the GGA-PBE level of DFT.

**Relative energy among the computed polymorphs**: 1.2272 eV/atom
**Raw formation energy**: -0.023 eV per atom

a b c (Å): 5.281 5.510 5.281
angles (deg): 90.00 90.00 90.00
Positions (direct):
S (0.000, 0.000, 0.500)
S (0.500, 0.000, 0.000)
Ca (0.500, 0.500, 0.500)
Cs (0.000, 0.500, 0.000)
Au (0.000, 0.000, 0.000)

***

2.
Computed, not measured: a relaxed structure of NaLiRh2F8 at the GGA-PBE level of DFT.

**Raw formation energy**: -1.601 eV per atom

a b c (Å): 5.501 5.501 6.031
angles (deg): 90.00 90.00 120.00
Last column: magnetic moment on the atom in μB.
Positions (direct):
F (0.333, 0.667, 0.588)  0.01
F (0.715, 0.057, 0.835)  0.13
F (0.057, 0.342, 0.165)  0.13
F (0.285, 0.943, 0.165)  0.13
F (0.943, 0.658, 0.835)  0.13
F (0.658, 0.715, 0.165)  0.13
F (0.342, 0.285, 0.835)  0.13
F (0.667, 0.333, 0.412)  0.01
Na (0.000, 0.000, 0.500)  0.00
Rh (0.667, 0.333, 0.098)  1.57
Rh (0.333, 0.667, 0.902)  1.57
Li (0.000, 0.000, 0.000)  0.00

***

3.
Computed, not measured: a relaxed structure of LaNd4Dy2Tm at the GGA-PBE level of DFT.

**Formation enthalpy at 0 K**: 18 meV per atom

a b c (Å): 3.649 12.012 6.266
angles (deg): 79.83 90.00 90.00
Positions (direct):
La (0.500, 0.500, 0.000)
Tm (0.000, 0.500, 0.500)
Nd (0.500, 0.249, 0.749)
Nd (0.500, 0.751, 0.251)
Nd (0.000, 0.246, 0.252)
Nd (0.000, 0.754, 0.748)
Dy (0.000, 0.000, 0.000)
Dy (0.500, 0.000, 0.500)

***

| no. | D(E_F) (states/eV/f.u.) | electronic total energy (eV/atom) |
| --- | --- | --- |
| 1 | 2.10 | -2.90 |
| 2 | 7.37 | -4.34 |
| 3 | 11.36 | -4.69 |